[1]
First-principles (PBE) data for a relaxed ErTmNiSn crystal, as listed in the Alexandria database.

M_tot   0.00 μB/f.u.
Crystal system   cubic
Energy of formation   -0.45 eV per atom
Volume   22.5 A^3/atom

a = 7.1178 Å, b = 7.1178 Å, c = 7.1178 Å
α = 90.00°, β = 90.00°, γ = 90.00°
Space group F-43m (No. 216)
Symmetry-distinct sites (fractional):
Er 0.0000 0.0000 0.0000 [4 per cell]
Tm 0.0000 0.0000 0.5000 [4 per cell]
Ni 0.2500 0.2500 0.7500 [4 per cell]
Sn 0.2500 0.2500 0.2500 [4 per cell]

***

[2]
First-principles (PBE) data for a relaxed SrErNi4 crystal, as listed in the Alexandria database.

M_tot   0.00 μB/f.u.
Crystal system   cubic
Energy of formation   -0.19 eV per atom
Volume   16.0 A^3/atom

a = 7.2693 Å, b = 7.2693 Å, c = 7.2693 Å
α = 90.00°, β = 90.00°, γ = 90.00°
Space group F-43m (No. 216)
Symmetry-distinct sites (fractional):
Sr 0.0000 0.0000 0.0000 [4 per cell]
Er 0.2500 0.2500 0.7500 [4 per cell]
Ni 0.1239 0.1239 0.3761 [16 per cell]

***

[3]
First-principles (PBE) data for a relaxed SrEr3Ni crystal, as listed in the Alexandria database.

M_tot   0.00 μB/f.u.
Crystal system   cubic
Energy of formation   -0.06 eV per atom
Volume   31.2 A^3/atom

a = 5.3815 Å, b = 5.3815 Å, c = 5.3815 Å
α = 90.00°, β = 90.00°, γ = 90.00°
Space group Pm-3m (No. 221)
Symmetry-distinct sites (fractional):
Sr 0.0000 0.0000 0.0000 [1 per cell]
Er 0.0000 0.5000 0.5000 [3 per cell]
Ni 0.5000 0.5000 0.5000 [1 per cell]

***

[4]
First-principles (PBE) data for a relaxed SrErNi10 crystal, as listed in the Alexandria database.

M_tot   3.54 μB/f.u.
Crystal system   orthorhombic
Energy of formation   -0.18 eV per atom
Volume   14.0 A^3/atom

a = 3.9491 Å, b = 4.9573 Å, c = 8.5868 Å
α = 90.00°, β = 90.00°, γ = 90.00°
Space group Pmmm (No. 47)
Symmetry-distinct sites (fractional):
Sr 0.0000 0.0000 0.0000 [1 per cell]
Er 0.0000 0.5000 0.5000 [1 per cell]
Ni 0.0000 0.0000 0.3417 [2 per cell]
Ni 0.0000 0.5000 0.1776 [2 per cell]
Ni 0.5000 0.0000 0.5000 [1 per cell]
Ni 0.5000 0.2553 0.2592 [4 per cell]
Ni 0.5000 0.5000 0.0000 [1 per cell]

***

[5]
First-principles (PBE) data for a relaxed ErTaNi crystal, as listed in the Alexandria database.

M_tot   0.00 μB/f.u.
Crystal system   tetragonal
Energy of formation   -0.12 eV per atom
Volume   19.8 A^3/atom

a = 4.2047 Å, b = 4.2047 Å, c = 13.4080 Å
α = 90.00°, β = 90.00°, γ = 90.00°
Space group I4/mmm (No. 139)
Symmetry-distinct sites (fractional):
Er 0.0000 0.0000 0.1829 [4 per cell]
Ta 0.0000 0.5000 0.0000 [4 per cell]
Ni 0.0000 0.0000 0.3872 [4 per cell]

***

[6]
First-principles (PBE) data for a relaxed ErTaNi10 crystal, as listed in the Alexandria database.

M_tot   2.00 μB/f.u.
Crystal system   orthorhombic
Energy of formation   -0.19 eV per atom
Volume   12.9 A^3/atom

a = 3.9652 Å, b = 4.7422 Å, c = 8.2156 Å
α = 90.00°, β = 90.00°, γ = 90.00°
Space group Pmmm (No. 47)
Symmetry-distinct sites (fractional):
Er 0.0000 0.0000 0.0000 [1 per cell]
Ta 0.0000 0.5000 0.5000 [1 per cell]
Ni 0.0000 0.0000 0.3427 [2 per cell]
Ni 0.0000 0.5000 0.1800 [2 per cell]
Ni 0.5000 0.0000 0.5000 [1 per cell]
Ni 0.5000 0.2557 0.2593 [4 per cell]
Ni 0.5000 0.5000 0.0000 [1 per cell]

***

What did the sixth record say?
First-principles (PBE) data for a relaxed ErTaNi10 crystal, as listed in the Alexandria database.

M_tot   2.00 μB/f.u.
Crystal system   orthorhombic
Energy of formation   -0.19 eV per atom
Volume   12.9 A^3/atom

a = 3.9652 Å, b = 4.7422 Å, c = 8.2156 Å
α = 90.00°, β = 90.00°, γ = 90.00°
Space group Pmmm (No. 47)
Symmetry-distinct sites (fractional):
Er 0.0000 0.0000 0.0000 [1 per cell]
Ta 0.0000 0.5000 0.5000 [1 per cell]
Ni 0.0000 0.0000 0.3427 [2 per cell]
Ni 0.0000 0.5000 0.1800 [2 per cell]
Ni 0.5000 0.0000 0.5000 [1 per cell]
Ni 0.5000 0.2557 0.2593 [4 per cell]
Ni 0.5000 0.5000 0.0000 [1 per cell]

***

> What is the M_tot in the first record?

0.00 μB/f.u.